## Sc3GaGe3 (PBE)

Data for a relaxed structure of Sc3GaGe3.

```
14
Lattice="8.1350 0.0000 0.0000 -4.0675 7.0451 0.0000 0.0000 0.0000 5.5222" Properties=species:S:1:pos:R:3 pbc="T T T"
Sc -1.0740 2.5685 1.3805
Sc -1.3062 6.6910 1.3805
Sc 1.6874 2.2143 4.1416
Sc 2.3801 4.8308 1.3805
Sc 5.3737 0.3542 4.1416
Sc 5.1415 4.4767 4.1416
Ga 0.0000 4.6968 4.1416
Ga 4.0675 2.3484 1.3805
Ge -1.0544 2.4524 4.1416
Ge -1.4165 6.7321 4.1416
Ge 1.5966 2.1393 1.3805
Ge 2.4709 4.9059 4.1416
Ge 5.4840 0.3131 1.3805
Ge 5.1219 4.5928 1.3805
```

- Density of states at the Fermi level: 2.01 states/eV/f.u.
- Total magnetic moment: 0.00 μB per formula unit
- DFT formation energy: -46.0 kJ/mol of atoms
- Space group: P6_3/m (176)
- ρ: 4.43 g cm⁻³

## CaSe2Cl (PBE)

Data for a relaxed structure of CaSe2Cl.

```
4
Lattice="4.4548 0.0000 0.0000 0.0000 5.4709 0.0000 -1.8827 0.0000 4.7639" Properties=species:S:1:pos:R:3 pbc="T T T"
Ca 0.0000 0.0000 0.0000
Se -0.7148 2.7355 4.1490
Se 3.2869 2.7355 0.6149
Cl 1.2860 0.0000 2.3820
```

- Uncorrected formation energy: -1.20 eV/atom
- Density of states at the Fermi level: 0.72 states/eV/f.u.
- Total magnetic moment: 0.00 μB per formula unit
- Space group: P2/m (10)
- Energy above the most stable polymorph in this dataset: 8.2 kJ/mol of atoms
- ρ: 3.34 g cm⁻³

## Er2Co3B2 (PBE)

Data for a relaxed structure of Er2Co3B2.

```
7
Lattice="4.7722 -1.6693 0.0000 4.7722 1.6693 0.0000 -2.6521 0.0000 5.7438" Properties=species:S:1:pos:R:3 pbc="T T T"
Er 0.5207 0.0000 1.5578
Er 6.3715 0.0000 4.1860
Co 3.2118 0.0000 0.3966
Co 3.4461 0.0000 2.8719
Co 3.6804 0.0000 5.3472
B -0.5836 0.0000 4.2936
B 7.4758 0.0000 1.4502
```

- Density of states at the Fermi level: 5.95 states/eV/f.u.
- Total magnetic moment: 0.00 μB per formula unit
- DFT formation energy: -31.4 kJ/mol of atoms
- Space group: C2/m (12)
- ρ: 9.67 g cm⁻³

## Mg3Co5 (PBE)

Data for a relaxed structure of Mg3Co5.

```
16
Lattice="4.5155 0.0000 0.0000 2.2040 7.3056 0.0000 2.0317 1.2782 7.3117" Properties=species:S:1:pos:R:3 pbc="T T T"
Mg 1.1354 0.7776 0.7044
Mg 2.2164 4.0689 0.7562
Mg 4.3304 7.1299 3.4531
Mg 4.4208 1.4539 3.8586
Mg 6.5348 4.5149 6.5555
Mg 7.6159 7.8062 6.6073
Co 2.1991 2.4151 5.0385
Co 2.2216 2.3949 2.6909
Co 3.2458 4.4399 3.5006
Co 4.2660 5.5091 5.3970
Co 4.3396 3.2172 5.7628
Co 4.4116 5.3666 1.5490
Co 4.4852 3.0747 1.9147
Co 5.5055 4.1439 3.8112
Co 6.5297 6.1889 4.6208
Co 6.5521 6.1687 2.2733
```

- Density of states at the Fermi level: 8.22 states/eV/f.u.
- Total magnetic moment: 7.28 μB per formula unit
- DFT formation energy: 21.6 kJ/mol of atoms
- Space group: P-1 (2)
- Energy above the most stable polymorph in this dataset: 3.0 kJ/mol of atoms
- ρ: 5.06 g cm⁻³